Below is a geometry-optimized Tb2Dy3YP6 structure, with properties calculated at the PBE-GGA level.

a b c (Å): 6.9547 12.0440 6.9549
angles (deg): 90.00 109.45 90.00
With the nearest neighbours (Å) after each atom.
Space group C2/m (No. 12)
One atom of each set of equivalent atoms:
Tb 0.0000 0.1666 0.0000 (multiplicity 4)  6 P 2.84
Dy 0.0000 0.0000 0.5000 (multiplicity 2)  6 P 2.83-2.84
Dy 0.0000 0.3333 0.5000 (multiplicity 4)  6 P 2.83-2.84
Y 0.0000 0.5000 0.0000 (multiplicity 2)  6 P 2.84
P 0.2493 0.5000 0.7488 (multiplicity 4)  3 Dy 2.83-2.84, 1 Y 2.84, 2 Tb 2.84
P 0.2498 0.1665 0.7490 (multiplicity 8)  3 Dy 2.83-2.84, 1 Y 2.84, 2 Tb 2.84

Values from the calculation:
density of states at the Fermi level = 3.34 states/eV/cell
calculated formation energy = -1871.5 kJ/mol of formula units